A plane-wave DFT calculation with meta-GGA SCAN was carried out for a PBEsol-optimized structure of Ca2TcSe. Values from VASP.

Calculated values
- SG = Cm
- formation energy without anion corrections (eV/atom) = -0.31

Cell and atoms, written as Quantum ESPRESSO input:
```
&SYSTEM
  ibrav = 0, nat = 4, ntyp = 3
/
ATOMIC_SPECIES
Ca 40.08 Ca.upf
Se 78.96 Se.upf
Tc 98.00 Tc.upf
CELL_PARAMETERS angstrom
3.321 0.000 0.000
0.000 4.984 0.005
-1.660 -1.734 5.330
ATOMIC_POSITIONS crystal
Ca 0.982 0.955 0.963
Ca 0.777 0.308 0.553
Se 0.541 0.495 0.082
Tc 0.201 0.742 0.402
```



A plane-wave DFT calculation with meta-GGA SCAN was carried out for a PBEsol-optimized structure of SrTcRu2. Values from VASP.

Calculated values
- SG = Imm2
- E_form (eV per atom) = 0.738

Cell and atoms, written as Quantum ESPRESSO input:
```
&SYSTEM
  ibrav = 0, nat = 4, ntyp = 3
/
ATOMIC_SPECIES
Tc 98.00 Tc.upf
Ru 101.07 Ru.upf
Sr 87.62 Sr.upf
CELL_PARAMETERS angstrom
-0.775 -2.647 0.564
2.961 -1.603 -3.458
2.628 1.751 4.806
ATOMIC_POSITIONS crystal
Tc 0.285 0.785 0.570
Ru 0.716 0.216 0.433
Ru 0.999 0.999 0.998
Sr 0.500 0.500 0.999
```



A plane-wave DFT calculation with meta-GGA SCAN was carried out for a PBEsol-optimized structure of BaIr2Os. Values from VASP.

Calculated values
- SG = Pmmm
- E_form (eV per atom) = 1.371

Cell and atoms, written as Quantum ESPRESSO input:
```
&SYSTEM
  ibrav = 0, nat = 4, ntyp = 3
/
ATOMIC_SPECIES
Os 190.23 Os.upf
Ir 192.22 Ir.upf
Ba 137.33 Ba.upf
CELL_PARAMETERS angstrom
2.870 0.000 0.000
0.000 4.990 0.000
0.000 0.000 5.114
ATOMIC_POSITIONS crystal
Os 0.500 0.500 0.000
Ir 0.000 0.000 0.000
Ba 0.000 0.500 0.500
Ir 0.500 0.000 0.500
```



A plane-wave DFT calculation with meta-GGA SCAN was carried out for a PBEsol-optimized structure of LiYTe2. Values from VASP.

Calculated values
- SG = P4/mmm
- formation energy without anion corrections (eV/atom) = -1.11

Cell and atoms, written as Quantum ESPRESSO input:
```
&SYSTEM
  ibrav = 0, nat = 4, ntyp = 3
/
ATOMIC_SPECIES
Te 127.60 Te.upf
Y 88.91 Y.upf
Li 6.94 Li.upf
CELL_PARAMETERS angstrom
-2.334 -2.334 1.749
2.527 -2.737 -0.280
2.941 2.035 6.641
ATOMIC_POSITIONS crystal
Te 0.000 0.000 0.760
Y 0.500 0.500 0.000
Li 0.500 0.500 0.500
Te 0.000 0.000 0.240
```



A plane-wave DFT calculation with meta-GGA SCAN was carried out for a PBEsol-optimized structure of BOsO3. Values from VASP.

Calculated values
- SG = Pm-3m
- formation energy without anion corrections (eV/atom) = 0.21

Cell and atoms, written as Quantum ESPRESSO input:
```
&SYSTEM
  ibrav = 0, nat = 5, ntyp = 3
/
ATOMIC_SPECIES
Os 190.23 Os.upf
O 16.00 O.upf
B 10.81 B.upf
CELL_PARAMETERS angstrom
3.814 0.000 0.000
0.000 3.814 0.000
0.000 0.000 3.814
ATOMIC_POSITIONS crystal
Os 0.000 0.000 0.000
O 0.000 0.000 0.500
B 0.500 0.500 0.500
O 0.000 0.500 0.000
O 0.500 0.000 0.000
```



A plane-wave DFT calculation with meta-GGA SCAN was carried out for a PBEsol-optimized structure of HfGaS2N. Values from VASP.

Calculated values
- SG = P4/mmm
- formation energy without anion corrections (eV/atom) = 0.15

Cell and atoms, written as Quantum ESPRESSO input:
```
&SYSTEM
  ibrav = 0, nat = 5, ntyp = 4
/
ATOMIC_SPECIES
N 14.01 N.upf
Hf 178.49 Hf.upf
S 32.06 S.upf
Ga 69.72 Ga.upf
CELL_PARAMETERS angstrom
-1.349 -3.220 0.832
3.432 -2.068 -2.436
2.665 -0.120 3.856
ATOMIC_POSITIONS crystal
N 0.500 0.000 0.000
Hf 0.500 0.500 0.500
S 0.000 0.000 0.500
S 0.000 0.500 0.000
Ga 0.000 0.000 0.000
```